1.
A relaxed structure of Zn3Si. Source: OQMD, functional PBE.

Cell and atoms, written as extended XYZ:
```
8
Lattice="-3.2525 -0.9330 -4.9009 -0.1714 -3.0963 4.3250 -3.4125 2.6482 1.7606" Properties=species:S:1:pos:R:3 pbc="T T T"
Si -4.5460 -0.1678 -2.3799
Zn -1.7064 -2.0009 -0.2977
Zn -3.0416 -1.1783 2.0560
Si -3.2375 -2.2827 -2.8416
Zn -4.4969 -1.5952 -0.1377
Zn -1.6608 -3.4355 1.9484
Zn -0.2055 -3.0186 4.1421
Zn -2.8246 0.4834 -0.0229
```

=====

2.
A relaxed structure of Zn2Si. Source: OQMD, functional PBE.

Cell and atoms, written as extended XYZ:
```
6
Lattice="3.7940 2.1905 6.1956 -3.7940 2.1905 6.1956 0.0000 -4.3809 6.1956" Properties=species:S:1:pos:R:3 pbc="T T T"
Zn 1.8970 1.0952 10.0678
Zn 0.0000 -2.1905 10.0678
Zn 0.0000 0.0000 6.9700
Si 0.0000 0.0000 9.2934
Zn -1.8970 1.0952 10.0678
Si 0.0000 0.0000 4.6467
```

=====

3.
A relaxed structure of Zn2Si. Source: OQMD, functional PBE.

Cell and atoms, written as extended XYZ:
```
9
Lattice="-0.6778 3.3699 -5.7099 4.9457 -4.4127 0.6983 -2.2066 -2.6821 -1.3210" Properties=species:S:1:pos:R:3 pbc="T T T"
Si 1.1967 0.7757 -3.5739
Zn -1.5168 0.7152 -4.1447
Si -1.1033 -1.3411 -0.6605
Zn 1.9145 -4.0336 -0.2344
Zn 1.3298 -1.1865 0.1878
Zn 3.1203 -0.7624 -3.6641
Zn 0.5604 -1.7475 -2.6141
Si 3.0712 -1.8185 -1.4378
Zn -0.1822 0.9061 -1.5353
```

=====

Total DFT energy (no corrections) per entry: -0.0778, -0.0827, -0.0898 Ha/atom